# 1
# PBE Cu2Ag3Te4, optimized geometry
# offset from the most stable computed form = 0.15 eV per formula unit
# E_form (uncorrected) = 36 meV/atom
data_Cu2Ag3Te4
_chemical_formula_sum 'Cu8 Ag12 Te16'
_cell_length_a 11.5520
_cell_length_b 10.8720
_cell_length_c 6.8859
_cell_angle_alpha 90.00
_cell_angle_beta 95.10
_cell_angle_gamma 90.00
_space_group_name_H-M_alt 'C 1 2/c 1'
_space_group_IT_number 15
loop_
_space_group_symop_operation_xyz
'x,y,z'
'-x,-y,-z'
'-x,y,-z+1/2'
'x,-y,z+1/2'
'x+1/2,y+1/2,z'
'-x+1/2,-y+1/2,-z'
'-x+1/2,y+1/2,-z+1/2'
'x+1/2,-y+1/2,z+1/2'
loop_
_atom_site_label
_atom_site_type_symbol
_atom_site_fract_x
_atom_site_fract_y
_atom_site_fract_z
Cu1 Cu 0.1699 0.1412 0.0778
Ag1 Ag 0.0000 0.1230 0.7500
Ag2 Ag 0.1143 0.3540 0.3559
Te1 Te 0.0988 0.3529 0.9426
Te2 Te 0.1659 0.0887 0.4547

# 2
# PBE La10Nd4Sm, optimized geometry
# ΔH_f (0 K) = 0.19 eV per atom
data_La10Nd4Sm
_chemical_formula_sum 'La20 Nd8 Sm2'
_cell_length_a 11.6748
_cell_length_b 11.6748
_cell_length_c 8.0629
_cell_angle_alpha 90.00
_cell_angle_beta 90.00
_cell_angle_gamma 90.00
_space_group_name_H-M_alt 'I 4/m m m'
_space_group_IT_number 139
_space_group_name_Hall '-I 4 2'
loop_
_atom_site_label
_atom_site_type_symbol
_atom_site_fract_x
_atom_site_fract_y
_atom_site_fract_z
La1 La 0.0000 0.2153 0.2074
La2 La 0.0000 0.5000 0.2500
Nd1 Nd 0.2251 0.2251 0.5000
Sm1 Sm 0.0000 0.0000 0.5000

| no. | magnetization (μB/atom) |
| --- | --- |
| 1 | 0.000 |
| 2 | 0.000 |